# MgGa2C

MgGa2C after structural relaxation (GGA-PBE, the Alexandria database).

abc: 5.9696 5.9696 5.8966
angles: 59.59 59.59 90.00
With the nearest neighbours (Å) after each atom.
Element x y z (fractional)
Mg  0.0000  0.0000  0.0000  4 Ga 2.80
Mg  0.7500  0.2500  0.5000  4 Ga 2.80
C  0.5000  0.5000  0.0000  4 Ga 2.00
C  0.2500  0.7500  0.5000  4 Ga 2.00
Ga  0.5170  0.1250  0.2500  2 C 2.00
Ga  0.2330  0.6250  0.2500  2 C 2.00
Ga  0.3750  0.4830  0.7500  2 C 2.00
Ga  0.8750  0.7670  0.7500  2 C 2.00

Values from the calculation:
symmetry: No. 122
DOS(E_F): 0.3 states/eV per cell
ΔH_f (0 K): 501 meV/atom
size of the total moment: 0.00 μB/atom
energy above the most stable polymorph in this dataset: 0 meV/atom
calculated density: 4.0 g/cm3

# Sc4Zn3Cu

Sc4Zn3Cu after structural relaxation (GGA-PBE, the Alexandria database).

abc: 3.3269 3.3269 13.3484
angles: 90.00 90.00 90.00
With the nearest neighbours (Å) after each atom.
Element x y z (fractional)
Sc  0.0000  0.0000  0.8806  4 Cu 2.84, 4 Zn 2.91
Sc  0.0000  0.0000  0.1194  4 Cu 2.84, 4 Zn 2.91
Sc  0.0000  0.0000  0.3729  8 Zn 2.88-2.90
Sc  0.0000  0.0000  0.6271  8 Zn 2.88-2.90
Zn  0.5000  0.5000  0.2478  8 Sc 2.88-2.91
Zn  0.5000  0.5000  0.5000  8 Sc 2.90
Zn  0.5000  0.5000  0.7522  8 Sc 2.88-2.91
Cu  0.5000  0.5000  0.0000  8 Sc 2.84

Values from the calculation:
symmetry: No. 123
DOS(E_F): 6.0 states/eV per cell
ΔH_f (0 K): -349 meV/atom
size of the total moment: 0.00 μB/atom
calculated density: 4.9 g/cm3

# CoGe

CoGe after structural relaxation (GGA-PBE, the Alexandria database).

abc: 2.7912 4.4714 4.5491
angles: 90.00 108.09 90.00
With the nearest neighbours (Å) after each atom.
Element x y z (fractional)
Ge  0.0793  0.7500  0.1644  5 Co 2.34-2.46
Ge  0.9207  0.2500  0.8356  5 Co 2.34-2.46
Co  0.8001  0.7500  0.5993  5 Ge 2.34-2.46
Co  0.1999  0.2500  0.4007  5 Ge 2.34-2.46

Values from the calculation:
symmetry: No. 11
DOS(E_F): 3.2 states/eV per cell
ΔH_f (0 K): -54 meV/atom
size of the total moment: 0.16 μB/atom
calculated density: 8.1 g/cm3

| no. | raw total energy (eV/atom) |
| --- | --- |
| 1 | -3.717 |
| 2 | -4.504 |
| 3 | -5.916 |